No. 1
A relaxed YGa3 crystal. Source: the Alexandria database, functional PBE.

Calculated values
ΔH_f (0 K) = -0.54 eV per atom
electronic total energy = -17.691 eV per cell
V = 19.6 A^3/atom
DOS(E_F) = 0.384 states/eV/atom
magnetization = 0.00 μB per atom

Lattice parameters (Å, degrees): 4.2826 4.2826 4.2826 90.00 90.00 90.00
Closest atoms and distances in Å follow each position.
Space group Pm-3m (No. 221)
Symmetry-distinct sites (fractional):
Y1 0.0000 0.0000 0.0000 x1  12 Ga 3.03
Ga1 0.0000 0.5000 0.5000 x3  4 Y 3.03, 8 Ga 3.03

---

No. 2
A relaxed Nb2TcIr5Rh crystal. Source: the Alexandria database, functional PBE.

Calculated values
ΔH_f (0 K) = 0.43 eV per atom
electronic total energy = -312.989 eV per cell
V = 16.6 A^3/atom
DOS(E_F) = 1.039 states/eV/atom
magnetization = 0.00 μB per atom

Lattice parameters (Å, degrees): 7.3297 7.3297 11.1326 90.00 90.00 90.00
Closest atoms and distances in Å follow each position.
Space group I4/mcm (No. 140)
Symmetry-distinct sites (fractional):
Nb1 0.1188 0.3812 0.0000 x8  2 Ir 2.37, 1 Nb 2.46
Tc1 0.0000 0.0000 0.2500 x4  10 Ir 2.78-2.90
Ir1 0.0000 0.0000 0.0000 x4  2 Tc 2.78, 4 Nb 2.93, 8 Ir 3.05
Ir2 0.2088 0.2912 0.3607 x16  1 Nb 2.37, 1 Rh 2.49, 1 Ir 2.61
Rh1 0.0000 0.5000 0.2500 x4  4 Ir 2.49

---

No. 3
A relaxed Ba2Fe3 crystal. Source: the Alexandria database, functional PBE.

Calculated values
ΔH_f (0 K) = 0.85 eV per atom
electronic total energy = -75.006 eV per cell
V = 25.7 A^3/atom
DOS(E_F) = 1.267 states/eV/atom
magnetization = 0.51 μB per atom

Lattice parameters (Å, degrees): 3.8459 3.8459 30.0385 90.00 90.00 120.00
Closest atoms and distances in Å follow each position.
Space group R-3m (No. 166, hexagonal axes)
Symmetry-distinct sites (fractional):
Ba1 0.0000 0.0000 0.0828 x6  9 Fe 3.31-3.36
Fe1 0.0000 0.0000 0.3324 x6  3 Fe 2.22
Fe2 0.0000 0.0000 0.5000 x3  6 Ba 3.36

---

No. 4
A relaxed NaEuTe crystal. Source: the Alexandria database, functional PBE.

Calculated values
electronic total energy = -17.122 eV per cell
V = 31.8 A^3/atom
formation energy from raw total energies = -796 meV/atom
DOS(E_F) = 0.218 states/eV/atom
magnetization = 2.66 μB per atom

Lattice parameters (Å, degrees): 5.0284 5.0284 4.3541 90.00 90.00 120.00
Closest atoms and distances in Å follow each position.
Space group P3m1 (No. 156)
Symmetry-distinct sites (fractional):
Na1 0.0000 0.0000 0.0000 x1  3 Te 2.90
Eu1 0.6667 0.3333 0.5031 x1  6 Te 3.61-3.64, 6 Na 3.62-3.64
Te1 0.3333 0.6667 0.0085 x1  3 Na 2.90

---

No. 5
A relaxed Pa2TlAuO8 crystal. Source: the Alexandria database, functional PBE.

Calculated values
electronic total energy = -90.150 eV per cell
V = 16.3 A^3/atom
formation energy from raw total energies = -2154 meV/atom
magnetization = 0.00 μB per atom

Lattice parameters (Å, degrees): 5.3559 6.8540 5.3646 90.00 96.20 90.00
Closest atoms and distances in Å follow each position.
Space group P2/m (No. 10)
Symmetry-distinct sites (fractional):
Pa1 0.0000 0.2466 0.0000 x2  6 O 2.11-2.26
Tl1 0.5000 0.5000 0.5000 x1  4 O 2.28
Au1 0.5000 0.0000 0.5000 x1  4 O 2.05
O1 0.1598 0.0000 0.8424 x2  2 Pa 2.11
O2 0.1674 0.5000 0.8341 x2  2 Pa 2.19
O3 0.3145 0.2292 0.3166 x4  1 Au 2.05, 1 Pa 2.26, 1 Tl 2.28

---

No. 6
A relaxed Li4Pm5Tl4 crystal. Source: the Alexandria database, functional PBE.

Calculated values
ΔH_f (0 K) = -0.26 eV per atom
electronic total energy = -88.484 eV per cell
V = 26.8 A^3/atom
DOS(E_F) = 0.759 states/eV/atom
magnetization = 0.00 μB per atom

Lattice parameters (Å, degrees): 12.1704 12.1704 4.6996 90.00 90.00 90.00
Closest atoms and distances in Å follow each position.
Space group I4/m (No. 87)
Symmetry-distinct sites (fractional):
Li1 0.0687 0.3984 0.0000 x8  3 Tl 2.85-2.91, 5 Li 2.99-3.16
Pm1 0.0000 0.0000 0.5000 x2  4 Tl 3.22
Pm2 0.1289 0.7934 0.0000 x8  5 Tl 3.20-3.37, 1 Li 3.35
Tl1 0.0561 0.2586 0.5000 x8  3 Li 2.85-2.91

---

No. 7
A relaxed AcPmSnHg crystal. Source: the Alexandria database, functional PBE.

Calculated values
ΔH_f (0 K) = -0.56 eV per atom
electronic total energy = -61.542 eV per cell
V = 31.0 A^3/atom
DOS(E_F) = 0.973 states/eV/atom
magnetization = 0.00 μB per atom

Lattice parameters (Å, degrees): 7.9155 7.9155 7.9155 90.00 90.00 90.00
Closest atoms and distances in Å follow each position.
Space group F-43m (No. 216)
Symmetry-distinct sites (fractional):
Ac1 0.0000 0.0000 0.0000 x4  4 Hg 3.43, 4 Sn 3.43
Pm1 0.0000 0.0000 0.5000 x4  4 Sn 3.43, 4 Hg 3.43
Sn1 0.2500 0.2500 0.2500 x4  4 Ac 3.43, 4 Pm 3.43
Hg1 0.2500 0.2500 0.7500 x4  4 Ac 3.43, 4 Pm 3.43

---

No. 8
A relaxed PrPb7 crystal. Source: the Alexandria database, functional PBE.

Calculated values
ΔH_f (0 K) = -0.16 eV per atom
electronic total energy = -128.027 eV per cell
V = 31.1 A^3/atom
DOS(E_F) = 0.917 states/eV/atom
magnetization = 0.00 μB per atom

Lattice parameters (Å, degrees): 9.9826 9.9826 9.9826 90.00 90.00 90.00
Closest atoms and distances in Å follow each position.
Space group Fm-3m (No. 225)
Symmetry-distinct sites (fractional):
Pr1 0.0000 0.0000 0.0000 x4  12 Pb 3.53
Pb1 0.0000 0.0000 0.5000 x4  12 Pb 3.53
Pb2 0.0000 0.2500 0.2500 x24  2 Pr 3.53, 10 Pb 3.53

---

No. 9
A relaxed YVI crystal. Source: the Alexandria database, functional PBE.

Calculated values
electronic total energy = -36.839 eV per cell
V = 30.2 A^3/atom
formation energy from raw total energies = -429 meV/atom
DOS(E_F) = 0.495 states/eV/atom
magnetization = 0.00 μB per atom

Lattice parameters (Å, degrees): 3.9917 4.0429 13.1119 81.14 81.49 60.42
Closest atoms and distances in Å follow each position.
Space group P1 (No. 1)
Symmetry-distinct sites (fractional):
Y1 0.0000 0.0000 0.0000 x1  3 I 3.14-3.16, 6 V 3.16-3.39
Y2 0.1089 0.1211 0.6514 x1  3 I 3.14-3.16, 6 V 3.16-3.39
V1 0.4106 0.3488 0.8257 x1  1 V 1.99
V2 0.6930 0.7828 0.8257 x1  1 V 1.99
I1 0.6198 0.6000 0.1651 x1  3 Y 3.14-3.16
I2 0.8319 0.8358 0.4863 x1  3 Y 3.14-3.16

---

No. 10
A relaxed Pa4Ge2H crystal. Source: the Alexandria database, functional PBE.

Calculated values
electronic total energy = -105.789 eV per cell
V = 20.3 A^3/atom
DOS(E_F) = 1.646 states/eV/atom
magnetization = 0.00 μB per atom

Lattice parameters (Å, degrees): 5.3660 6.1818 8.6844 90.00 98.88 90.00
Closest atoms and distances in Å follow each position.
Space group P2_1/m (No. 11)
Symmetry-distinct sites (fractional):
Pa1 0.1744 0.2500 0.0833 x2  1 H 2.23
Pa2 0.2261 0.7500 0.3686 x2  1 H 2.21
Pa3 0.2914 0.5214 0.7288 x4  1 H 2.20
Ge1 0.2324 0.2500 0.4268 x2  9 Pa 2.95-3.25
Ge2 0.3494 0.7500 0.0470 x2  2 H 2.79-3.01, 7 Pa 2.86-3.08
H1 0.0966 0.2500 0.8240 x2  4 Pa 2.20-2.23

---

No. 11
A relaxed CsSr2LiZn crystal. Source: the Alexandria database, functional PBE.

Calculated values
ΔH_f (0 K) = 0.11 eV per atom
electronic total energy = -6.844 eV per cell
V = 46.8 A^3/atom
DOS(E_F) = 0.895 states/eV/atom
magnetization = 0.00 μB per atom

Lattice parameters (Å, degrees): 6.3734 6.3734 5.7610 90.00 90.00 90.00
Closest atoms and distances in Å follow each position.
Space group P4/mmm (No. 123)
Symmetry-distinct sites (fractional):
Cs1 0.0000 0.0000 0.0000 x1  8 Sr 4.30, 4 Li 4.51
Sr1 0.0000 0.5000 0.5000 x2  2 Zn 3.19
Li1 0.5000 0.5000 0.0000 x1  2 Zn 2.88
Zn1 0.5000 0.5000 0.5000 x1  2 Li 2.88, 4 Sr 3.19

---

No. 12
A relaxed LiAgSn4 crystal. Source: the Alexandria database, functional PBE.

Calculated values
ΔH_f (0 K) = -0.05 eV per atom
electronic total energy = -42.165 eV per cell
V = 24.9 A^3/atom
DOS(E_F) = 0.462 states/eV/atom
magnetization = 0.00 μB per atom

Lattice parameters (Å, degrees): 8.1795 4.8172 8.2765 90.00 113.57 90.00
Closest atoms and distances in Å follow each position.
Space group C2/m (No. 12)
Symmetry-distinct sites (fractional):
Li1 0.0000 0.0000 0.0000 x2  8 Sn 2.82-2.87
Ag1 0.0000 0.5000 0.5000 x2  8 Sn 2.92-3.00
Sn1 0.1117 0.0000 0.3700 x4  1 Li 2.82, 3 Ag 2.92-2.93
Sn2 0.1198 0.5000 0.8930 x4  3 Li 2.87, 1 Ag 3.00, 1 Sn 3.12

---

No. 13
A relaxed Cs2Li2PuBr6 crystal. Source: the Alexandria database, functional PBE.

Calculated values
electronic total energy = -140.667 eV per cell
V = 39.9 A^3/atom
formation energy from raw total energies = -1544 meV/atom
DOS(E_F) = 1.647 states/eV/atom
magnetization = 0.54 μB per atom

Lattice parameters (Å, degrees): 8.1615 8.1615 22.8243 90.00 90.00 120.00
Closest atoms and distances in Å follow each position.
Space group R-3m (No. 166, hexagonal axes)
Symmetry-distinct sites (fractional):
Cs1 0.0000 0.0000 0.2175 x6  9 Br 3.79-4.14
Li1 0.0000 0.0000 0.4180 x6  3 Br 2.42
Pu1 0.0000 0.0000 0.0000 x3  6 Br 3.01
Br1 0.0086 0.5043 0.7519 x18  1 Li 2.42

---

No. 14
A relaxed HfSnP2W crystal. Source: the Alexandria database, functional PBE.

Calculated values
ΔH_f (0 K) = 1.74 eV per atom
electronic total energy = -29.045 eV per cell
V = 23.6 A^3/atom
DOS(E_F) = 1.056 states/eV/atom
magnetization = 0.09 μB per atom

Lattice parameters (Å, degrees): 4.8433 4.8433 5.0315 90.00 90.00 90.00
Closest atoms and distances in Å follow each position.
Space group P4/mmm (No. 123)
Symmetry-distinct sites (fractional):
Hf1 0.0000 0.0000 0.0000 x1  4 W 3.42, 8 P 3.49
Sn1 0.5000 0.5000 0.5000 x1  4 P 2.42, 2 W 2.52
P1 0.0000 0.5000 0.5000 x2  2 Sn 2.42
W1 0.5000 0.5000 0.0000 x1  2 Sn 2.52

---

No. 15
A relaxed Ba2InHgPt crystal. Source: the Alexandria database, functional PBE.

Calculated values
ΔH_f (0 K) = -0.53 eV per atom
electronic total energy = -15.559 eV per cell
V = 39.5 A^3/atom
DOS(E_F) = 0.730 states/eV/atom
magnetization = 0.00 μB per atom

Lattice parameters (Å, degrees): 6.1687 6.1687 5.1898 90.00 90.00 90.00
Closest atoms and distances in Å follow each position.
Space group P4/mmm (No. 123)
Symmetry-distinct sites (fractional):
Ba1 0.0000 0.5000 0.0000 x2  2 Pt 3.08
In1 0.0000 0.0000 0.5000 x1  2 Pt 2.59
Hg1 0.5000 0.5000 0.5000 x1  8 Ba 4.03, 4 In 4.36
Pt1 0.0000 0.0000 0.0000 x1  2 In 2.59

---

No. 16
A relaxed BaCaIn3 crystal. Source: the Alexandria database, functional PBE.

Calculated values
ΔH_f (0 K) = 0.06 eV per atom
electronic total energy = -11.854 eV per cell
V = 39.9 A^3/atom
DOS(E_F) = 0.766 states/eV/atom
magnetization = 0.00 μB per atom

Lattice parameters (Å, degrees): 5.8446 5.8446 5.8446 90.00 90.00 90.00
Closest atoms and distances in Å follow each position.
Space group Pm-3m (No. 221)
Symmetry-distinct sites (fractional):
Ba1 0.0000 0.0000 0.0000 x1  12 In 4.13
Ca1 0.5000 0.5000 0.5000 x1  6 In 2.92
In1 0.0000 0.5000 0.5000 x3  2 Ca 2.92

---

No. 17
A relaxed RbNa2Tl3Cl6 crystal. Source: the Alexandria database, functional PBE.

Calculated values
electronic total energy = -77.367 eV per cell
V = 31.1 A^3/atom
formation energy from raw total energies = -1408 meV/atom
DOS(E_F) = 0.000 states/eV/atom
magnetization = 0.00 μB per atom

Lattice parameters (Å, degrees): 19.4029 4.4214 8.9679 90.00 103.77 90.00
Closest atoms and distances in Å follow each position.
Space group C2/m (No. 12)
Symmetry-distinct sites (fractional):
Rb1 0.0000 0.0000 0.0000 x2  6 Cl 3.20-3.29
Na1 0.1723 0.5000 0.3414 x4  6 Cl 2.84-3.02
Tl1 0.0000 0.0000 0.5000 x2  6 Cl 3.15-3.34
Tl2 0.1672 0.5000 0.8234 x4  3 Cl 2.99-3.21
Cl1 0.0218 0.5000 0.2659 x4  1 Na 2.84, 2 Tl 3.15
Cl2 0.1743 0.0000 0.1135 x4  1 Tl 2.99, 2 Na 3.02, 1 Rb 3.29
Cl3 0.1768 0.0000 0.5699 x4  3 Na 2.85-3.00

---

No. 18
A relaxed Nd2ZnIr crystal. Source: the Alexandria database, functional PBE.

Calculated values
ΔH_f (0 K) = -0.54 eV per atom
electronic total energy = -43.676 eV per cell
V = 24.5 A^3/atom
DOS(E_F) = 0.924 states/eV/atom
magnetization = 0.00 μB per atom

Lattice parameters (Å, degrees): 5.9145 4.4731 7.9873 90.00 111.68 90.00
Closest atoms and distances in Å follow each position.
Space group P2_1/m (No. 11)
Symmetry-distinct sites (fractional):
Nd1 0.1869 0.2500 0.4195 x2  3 Ir 3.02, 4 Zn 3.04-3.19
Nd2 0.2755 0.7500 0.0628 x2  3 Zn 3.03-3.14, 4 Ir 3.04-3.19
Zn1 0.3664 0.7500 0.7136 x2  2 Ir 2.76, 2 Nd 3.03-3.04
Ir1 0.1444 0.2500 0.7848 x2  2 Zn 2.76, 5 Nd 3.02-3.04

---

No. 19
A relaxed Nd12Y2Sc5 crystal. Source: the Alexandria database, functional PBE.

Calculated values
ΔH_f (0 K) = 0.16 eV per atom
electronic total energy = -197.655 eV per cell
V = 32.5 A^3/atom
DOS(E_F) = 1.388 states/eV/atom
magnetization = 0.00 μB per atom

Lattice parameters (Å, degrees): 16.0972 9.1075 8.4316 90.00 90.31 90.00
Closest atoms and distances in Å follow each position.
Space group C2/m (No. 12)
Symmetry-distinct sites (fractional):
Nd1 0.0513 0.0000 0.2184 x4  2 Sc 3.27-3.54, 6 Nd 3.37-3.62, 2 Y 3.61
Nd2 0.1089 0.2212 0.8800 x8  4 Sc 3.25-3.47, 5 Nd 3.37-3.62
Nd3 0.1662 0.5000 0.6326 x4  1 Sc 3.07, 2 Nd 3.42
Nd4 0.1831 0.2925 0.2750 x8  6 Nd 3.44-3.78, 4 Sc 3.44-3.66, 1 Y 3.51
Y1 0.0000 0.2835 0.5000 x4  8 Nd 3.50-3.69, 2 Sc 3.52
Sc1 0.0000 0.5000 0.0000 x2  4 Nd 3.25
Sc2 0.1452 0.0000 0.5629 x4  8 Nd 3.27-3.66, 2 Y 3.52
Sc3 0.2496 0.0000 0.0397 x4  5 Nd 3.07-3.44

---

No. 20
A relaxed RbV crystal. Source: the Alexandria database, functional PBE.

Calculated values
ΔH_f (0 K) = 1.23 eV per atom
electronic total energy = -60.990 eV per cell
V = 73.4 A^3/atom
DOS(E_F) = 2.094 states/eV/atom
magnetization = 0.00 μB per atom

Lattice parameters (Å, degrees): 10.5511 10.5511 10.5511 90.00 90.00 90.00
Closest atoms and distances in Å follow each position.
Space group I-43m (No. 217)
Symmetry-distinct sites (fractional):
Rb1 0.2174 0.2174 0.7826 x8  4 V 3.75-3.79
V1 0.0754 0.0754 0.0754 x8  3 V 2.25